The following is a PBE calculation of crystalline NaAgPb2I6 at its relaxed geometry, from the Alexandria database.

## Properties
**V**: 1221.05 Å³ per cell
**M_tot**: 0.000 μB per atom
**Total DFT energy (no corrections)**: -2.74 eV per atom
**Formation energy without anion corrections**: -6.5 eV per formula unit

Cell lengths 8.0279, 8.0279, 21.8738 Å; angles 90.00, 90.00, 120.00 degrees
Space group R3 (No. 146, hexagonal axes)
Unique sites:
Na (0.0000, 0.0000, 0.0000) (multiplicity 3)
Ag (0.0000, 0.0000, 0.5001) (multiplicity 3)
Pb (0.0000, 0.0000, 0.1878) (multiplicity 3)
Pb (0.0000, 0.0000, 0.6893) (multiplicity 3)
I (0.0039, 0.3594, 0.7616) (multiplicity 9)
I (0.0120, 0.7006, 0.5917) (multiplicity 9)